## ZnInCo3 (PBE-GGA)

Data for a geometry-optimized ZnInCo3 structure.

## Properties
**Density of states at the Fermi level**: 2.480 states/eV/atom
**Calculated formation energy**: 0.940 eV per atom
**Excess energy over the best structure of this formula in the dataset**: 0 meV per atom

Unit cell a=4.361 b=4.361 c=4.361 alpha=90.00 beta=90.00 gamma=90.00
Space group Pm-3m (No. 221)
Unique sites:
1 Zn 0.000 0.000 0.000 x1
2 In 0.500 0.500 0.500 x1
3 Co 0.000 0.000 0.500 x3

## ZnIn3Co (PBE-GGA)

Data for a geometry-optimized ZnIn3Co structure.

## Properties
**Density of states at the Fermi level**: 1.371 states/eV/atom
**Calculated formation energy**: 0.858 eV per atom
**Excess energy over the best structure of this formula in the dataset**: 732 meV per atom

Unit cell a=5.128 b=5.128 c=5.128 alpha=90.00 beta=90.00 gamma=90.00
Space group Pm-3m (No. 221)
Unique sites:
1 Zn 0.000 0.000 0.000 x1
2 In 0.000 0.000 0.500 x3
3 Co 0.500 0.500 0.500 x1

## Zn4InCo (PBE-GGA)

Data for a geometry-optimized Zn4InCo structure.

## Properties
**Density of states at the Fermi level**: 0.247 states/eV/atom
**Calculated formation energy**: 0.165 eV per atom

Unit cell a=7.110 b=7.110 c=7.110 alpha=90.00 beta=90.00 gamma=90.00
Space group F-43m (No. 216)
Unique sites:
1 Zn 0.124 0.124 0.124 x16
2 In 0.000 0.000 0.500 x4
3 Co 0.250 0.250 0.750 x4

## ZrInCo2 (PBE-GGA)

Data for a geometry-optimized ZrInCo2 structure.

## Properties
**Density of states at the Fermi level**: 0.949 states/eV/atom
**Calculated formation energy**: 0.041 eV per atom

Unit cell a=3.426 b=3.426 c=5.575 alpha=90.00 beta=90.00 gamma=90.00
Space group P4mm (No. 99)
Unique sites:
1 Zr 0.000 0.000 0.000 x1
2 In 0.500 0.500 0.650 x1
3 Co 0.000 0.000 0.446 x1
4 Co 0.500 0.500 0.171 x1

## ZrInCo (PBE-GGA)

Data for a geometry-optimized ZrInCo structure.

## Properties
**Density of states at the Fermi level**: 0.742 states/eV/atom
**Calculated formation energy**: -0.311 eV per atom

Unit cell a=13.110 b=3.321 c=7.454 alpha=90.00 beta=90.00 gamma=90.00
Space group Pmma (No. 51)
Unique sites:
1 Zr 0.051 0.000 0.201 x4
2 Zr 0.250 0.000 0.830 x2
3 In 0.109 0.500 0.568 x4
4 In 0.250 0.500 0.174 x2
5 Co 0.092 0.500 0.935 x4
6 Co 0.250 0.000 0.451 x2

## ZrInCo3 (PBE-GGA)

Data for a geometry-optimized ZrInCo3 structure.

## Properties
**Density of states at the Fermi level**: 1.078 states/eV/atom
**Calculated formation energy**: 1.169 eV per atom
**Excess energy over the best structure of this formula in the dataset**: 0 meV per atom

Unit cell a=4.582 b=4.582 c=4.582 alpha=90.00 beta=90.00 gamma=90.00
Space group Pm-3m (No. 221)
Unique sites:
1 Zr 0.000 0.000 0.000 x1
2 In 0.500 0.500 0.500 x1
3 Co 0.000 0.500 0.500 x3

## ZrInCo2 (PBE-GGA)

Data for a geometry-optimized ZrInCo2 structure.

## Properties
**Density of states at the Fermi level**: 0.606 states/eV/atom
**Calculated formation energy**: -0.162 eV per atom

Unit cell a=4.374 b=4.374 c=3.253 alpha=90.00 beta=90.00 gamma=90.00
Space group P4/mmm (No. 123)
Unique sites:
1 Zr 0.000 0.000 0.000 x1
2 In 0.500 0.500 0.000 x1
3 Co 0.000 0.500 0.500 x2

## ZrInCo2 (PBE-GGA)

Data for a geometry-optimized ZrInCo2 structure.

## Properties
**Density of states at the Fermi level**: 0.729 states/eV/atom
**Calculated formation energy**: 0.350 eV per atom

Unit cell a=6.864 b=6.864 c=5.830 alpha=90.00 beta=90.00 gamma=90.00
Space group I-42d (No. 122)
Unique sites:
1 Zr 0.000 0.000 0.000 x4
2 In 0.000 0.000 0.500 x4
3 Co 0.238 0.750 0.125 x8

## ZrInCo2 (PBE-GGA)

Data for a geometry-optimized ZrInCo2 structure.

## Properties
**Density of states at the Fermi level**: 0.860 states/eV/atom
**Calculated formation energy**: 0.199 eV per atom

Unit cell a=3.1848 b=3.1848 c=23.0647 alpha=90.00 beta=90.00 gamma=120.00
Space group R-3m (No. 166, hexagonal axes)
Unique sites:
1 Zr 0.0000 0.0000 0.0000 x3
2 In 0.0000 0.0000 0.5000 x3
3 Co 0.0000 0.0000 0.2524 x6

## Zr6InCo2 (PBE-GGA)

Data for a geometry-optimized Zr6InCo2 structure.

## Properties
**Density of states at the Fermi level**: 1.269 states/eV/atom
**Calculated formation energy**: -0.199 eV per atom

Unit cell a=8.534 b=8.738 c=9.854 alpha=90.00 beta=90.00 gamma=90.00
Space group Immm (No. 71)
Unique sites:
1 Zr 0.000 0.207 0.237 x8
2 Zr 0.194 0.500 0.175 x8
3 Zr 0.199 0.312 0.500 x8
4 In 0.000 0.000 0.000 x2
5 In 0.000 0.000 0.500 x2
6 Co 0.000 0.350 0.000 x4
7 Co 0.000 0.500 0.374 x4

## ZrInCo2 (PBE-GGA)

Data for a geometry-optimized ZrInCo2 structure.

## Properties
**Density of states at the Fermi level**: 1.371 states/eV/atom
**Calculated formation energy**: 0.295 eV per atom

Unit cell a=3.1053 b=3.1053 c=25.0033 alpha=90.00 beta=90.00 gamma=120.00
Space group R3m (No. 160, hexagonal axes)
Unique sites:
1 Zr 0.0000 0.0000 0.0000 x3
2 In 0.0000 0.0000 0.2277 x3
3 Co 0.0000 0.0000 0.4771 x3
4 Co 0.0000 0.0000 0.7491 x3

## ZrInCo2 (PBE-GGA)

Data for a geometry-optimized ZrInCo2 structure.

## Properties
**Density of states at the Fermi level**: 1.577 states/eV/atom
**Calculated formation energy**: 0.160 eV per atom

Unit cell a=6.406 b=6.406 c=6.406 alpha=90.00 beta=90.00 gamma=90.00
Space group F-43m (No. 216)
Unique sites:
1 Zr 0.000 0.000 0.000 x4
2 In 0.250 0.250 0.250 x4
3 Co 0.000 0.000 0.500 x4
4 Co 0.250 0.250 0.750 x4